The following is a PBE calculation of a relaxed structure of KTiAsSe2, from Alexandria.

The value obtained for the volume is 128 Å³ per cell. The value obtained for the energy relative to the elements, uncorrected is -0.6662 eV per atom. As for the energy above the most stable polymorph in this dataset: 0 meV per atom. Its magnetization is 0.33 Bohr magnetons per cell.

Cell: 5.078 5.078 4.977 Å, 90.00 90.00 90.00°
Last column: magnetic moment on the atom in μB.
Fractional coordinates of all 5 atoms:
1 Se 0.000 0.500 0.000  0.03
2 Se 0.500 0.000 0.000  0.03
3 Ti 0.000 0.000 0.000  -0.02
4 As 0.000 0.000 0.500  0.12
5 K 0.500 0.500 0.500  0.00


The following is a PBE calculation of a relaxed structure of K2TlAsSe4, from Alexandria.

The value obtained for the volume is 451 Å³ per cell. The value obtained for the energy relative to the elements, uncorrected is -0.5079 eV per atom. Its magnetization is 0.00 Bohr magnetons per cell.

Cell: 8.624 8.624 8.740 Å, 120.50 120.50 90.29°
Fractional coordinates of all 16 atoms:
1 Tl 0.000 0.500 0.500
2 Tl 0.000 0.500 0.000
3 Se 0.760 0.741 0.962
4 Se 0.794 0.253 0.024
5 Se 0.753 0.294 0.524
6 Se 0.759 0.740 0.538
7 Se 0.241 0.260 0.462
8 Se 0.206 0.747 0.976
9 Se 0.240 0.259 0.038
10 Se 0.247 0.706 0.476
11 As 0.500 0.500 0.500
12 As 0.000 0.000 0.000
13 K 0.500 0.500 0.000
14 K 0.000 0.000 0.500
15 K 0.500 0.000 0.500
16 K 0.500 0.000 0.000


The following is a PBE calculation of a relaxed structure of KTlAs2Se, from Alexandria.

The value obtained for the volume is 186 Å³ per cell. The value obtained for the energy relative to the elements, uncorrected is 0.9920 eV per atom. As for the energy above the most stable polymorph in this dataset: 610 meV per atom. Its magnetization is 1.77 Bohr magnetons per cell.

Cell: 5.678 5.678 5.769 Å, 90.00 90.00 90.00°
Last column: magnetic moment on the atom in μB.
Fractional coordinates of all 5 atoms:
1 K 0.000 0.000 0.000  0.04
2 Se 0.000 0.000 0.500  0.01
3 Tl 0.500 0.500 0.500  0.01
4 As 0.000 0.500 0.000  0.39
5 As 0.500 0.000 0.000  0.39


The following is a PBE calculation of a relaxed structure of KTlAs2Se, from Alexandria.

The value obtained for the volume is 169 Å³ per cell. The value obtained for the energy relative to the elements, uncorrected is 0.3824 eV per atom. As for the energy above the most stable polymorph in this dataset: 0 meV per atom. Its magnetization is 1.89 Bohr magnetons per cell.

Cell: 5.449 5.449 5.693 Å, 90.00 90.00 90.00°
Last column: magnetic moment on the atom in μB.
Fractional coordinates of all 5 atoms:
1 K 0.500 0.500 0.500  0.01
2 As 0.500 0.000 0.000  0.37
3 As 0.000 0.500 0.000  0.37
4 Tl 0.000 0.000 0.000  0.01
5 Se 0.000 0.000 0.500  0.16


The following is a PBE calculation of a relaxed structure of KTlAsSe2, from Alexandria.

The value obtained for the volume is 170 Å³ per cell. The value obtained for the energy relative to the elements, uncorrected is 0.1506 eV per atom. As for the energy above the most stable polymorph in this dataset: 0 meV per atom. Its magnetization is 1.75 Bohr magnetons per cell.

Cell: 5.599 5.599 5.418 Å, 90.00 90.00 90.00°
Last column: magnetic moment on the atom in μB.
Fractional coordinates of all 5 atoms:
1 Tl 0.000 0.000 0.000  0.02
2 Se 0.000 0.500 0.000  0.14
3 Se 0.500 0.000 0.000  0.14
4 As 0.000 0.000 0.500  0.58
5 K 0.500 0.500 0.500  0.00


The following is a PBE calculation of a relaxed structure of KTlAsSe3, from Alexandria.

The value obtained for the volume is 392 Å³ per cell. The value obtained for the energy relative to the elements, uncorrected is -0.4971 eV per atom. Its magnetization is 0.00 Bohr magnetons per cell.

Cell: 4.492 7.516 11.623 Å, 90.47 90.00 90.00°
Fractional coordinates of all 12 atoms:
1 K 0.750 0.746 0.661
2 K 0.250 0.254 0.339
3 Se 0.750 0.004 0.187
4 Se 0.750 0.501 0.188
5 Se 0.250 0.499 0.812
6 Se 0.250 0.996 0.813
7 Se 0.250 0.757 0.414
8 Se 0.750 0.243 0.586
9 Tl 0.750 0.250 0.946
10 Tl 0.250 0.750 0.054
11 As 0.750 0.755 0.310
12 As 0.250 0.245 0.690